# CaCrPt2F

A relaxed structure of CaCrPt2F (PBE+U, Alexandria via LeMat-Bulk).

abc: 4.614 4.614 6.065
angles: 90.00 90.00 90.00
Space group P4/mmm (No. 123)
Unique sites:
Ca (0.000, 0.000, 0.000) (multiplicity 1)
Cr (0.000, 0.000, 0.500) (multiplicity 1)
Pt (0.000, 0.500, 0.500) (multiplicity 2)
F (0.500, 0.500, 0.000) (multiplicity 1)

Output
As for the total energy: -4.53 eV per atom.